# ScZnF2, relaxed, DFT PBE
# * ΔE_f (raw): -1.76 eV/atom
# * uncorrected energy: -18.4 eV per formula unit
data_ScZnF2
_space_group_name_H-M_alt 'R -3 m'
_space_group_IT_number 166
_space_group_name_Hall '-R 3 2"'
_cell_length_a 3.1883
_cell_length_b 3.1883
_cell_length_c 24.2263
_cell_angle_alpha 90.00
_cell_angle_beta 90.00
_cell_angle_gamma 120.00
loop_
_atom_site_label
_atom_site_fract_x
_atom_site_fract_y
_atom_site_fract_z
Sc1 0.0000 0.0000 0.0000
Zn1 0.0000 0.0000 0.5000
F1 0.0000 0.0000 0.0799